Here is crystalline VSbO2F at its relaxed geometry from Alexandria. Energies are from PBE+U.

The value obtained for the final energy is -5.426 eV per atom.

It has space group P4/mmm (No. 123), with a = 4.199 Å, b = 4.199 Å, c = 4.438 Å, α = 90.00°, β = 90.00° and γ = 90.00°. The inequivalent atoms are V at (0.000, 0.000, 0.000), Sb at (0.500, 0.500, 0.500), O at (0.000, 0.500, 0.500) and F at (0.500, 0.500, 0.000).